(1)
# Sm4Mg5Co2

A relaxed structure of Sm4Mg5Co2 (PBE, Alexandria).

Output
**Final energy**: -42.0 eV/cell
**Total moment**: 0.0 μB per formula unit
**Space-group type**: No. 10

Geometry as extended XYZ:
```
11
Lattice="7.957 0.000 0.000 0.000 3.636 0.000 -0.761 0.000 9.609" Properties=species:S:1:pos:R:3 pbc="T T T"
Sm 1.093 0.000 3.232
Sm 0.885 0.000 9.086
Sm 6.310 0.000 0.522
Sm 6.102 0.000 6.377
Mg 0.904 1.818 6.229
Mg 3.474 1.818 1.626
Mg 3.598 1.818 4.804
Mg 3.722 1.818 7.983
Mg 6.291 1.818 3.379
Co 0.465 1.818 1.315
Co 6.731 1.818 8.294
```

=====

(2)
# RbBe3Pd

A relaxed structure of RbBe3Pd (PBE, Alexandria).

Output
**Relative energy among the computed polymorphs**: 2175.2 meV per atom
**Total moment**: 0.0 μB per formula unit
**Space-group type**: No. 221

Geometry as extended XYZ:
```
5
Lattice="4.959 0.000 0.000 0.000 4.959 0.000 0.000 0.000 4.959" Properties=species:S:1:pos:R:3 pbc="T T T"
Rb 0.000 0.000 0.000
Be 0.000 0.000 2.480
Be 0.000 2.480 0.000
Be 2.480 0.000 0.000
Pd 2.480 2.480 2.480
```

=====

(3)
# Ce3Ga2Pd4

A relaxed structure of Ce3Ga2Pd4 (PBE, Alexandria).

Output
**Final energy**: -51.6 eV/cell
**Total moment**: 1.3 μB per formula unit
**Space-group type**: No. 12

Geometry as extended XYZ:
```
9
Lattice="5.383 -2.260 0.000 5.383 2.260 0.000 -4.088 0.000 7.583" Properties=species:S:1:pos:R:3 pbc="T T T"
Ce 0.000 0.000 0.000
Ce 2.576 0.000 2.426
Ce 4.102 0.000 5.157
Ga 0.952 0.000 5.140
Ga 5.725 0.000 2.443
Pd -0.801 0.000 3.029
Pd -0.773 0.000 7.032
Pd 7.451 0.000 0.550
Pd 7.479 0.000 4.554
```

=====

(4)
# Tb2Mn2Zn15

A relaxed structure of Tb2Mn2Zn15 (PBE, Alexandria).

Output
**Final energy**: -49.9 eV/cell
**Total moment**: 7.1 μB per formula unit
**Space-group type**: No. 166

Geometry as extended XYZ:
```
19
Lattice="4.479 2.586 4.398 -4.479 2.586 4.398 0.000 -5.172 4.398" Properties=species:S:1:pos:R:3 pbc="T T T"
Tb 0.000 0.000 2.161
Tb 0.000 0.000 11.034
Mn 0.000 0.000 5.285
Mn 0.000 0.000 7.911
Zn -2.239 -1.293 4.398
Zn 0.000 -2.621 4.163
Zn -2.270 1.311 4.163
Zn -1.287 -2.229 6.598
Zn -2.574 0.000 6.598
Zn -2.270 -1.311 9.032
Zn -2.239 1.293 8.797
Zn 1.287 -2.229 6.598
Zn 0.000 2.586 4.398
Zn -1.287 2.229 6.598
Zn 2.270 1.311 4.163
Zn 2.574 0.000 6.598
Zn 1.287 2.229 6.598
Zn 2.270 -1.311 9.032
Zn 0.000 2.621 9.032
```

=====

(5)
# Dy2Y3Ni2

A relaxed structure of Dy2Y3Ni2 (PBE, Alexandria).

Output
**Final energy**: -41.9 eV/cell
**Total moment**: 0.0 μB per formula unit
**Space-group type**: No. 12

Geometry as extended XYZ:
```
7
Lattice="6.094 -1.801 0.000 6.094 1.801 0.000 -3.951 0.000 8.098" Properties=species:S:1:pos:R:3 pbc="T T T"
Dy 0.835 0.000 2.518
Dy 7.402 0.000 5.579
Y 4.427 0.000 0.558
Y 4.119 0.000 4.049
Y 3.810 0.000 7.540
Ni -0.779 0.000 5.973
Ni 9.016 0.000 2.125
```

=====

(6)
# AcCdH

A relaxed structure of AcCdH (PBE, Alexandria).

Output
**Relative energy among the computed polymorphs**: 251.7 meV per atom
**Total moment**: 0.0 μB per formula unit
**Space-group type**: No. 107

Geometry as extended XYZ:
```
3
Lattice="-1.793 1.793 5.903 1.793 -1.793 5.903 1.793 1.793 -5.903" Properties=species:S:1:pos:R:3 pbc="T T T"
Ac 0.000 0.000 0.000
Cd 0.000 0.000 3.382
H 0.000 0.000 6.252
```

=====

(7)
# Ca3HgRh

A relaxed structure of Ca3HgRh (PBE, Alexandria).

Output
**Relative energy among the computed polymorphs**: 0.0 meV per atom
**Total moment**: 0.0 μB per formula unit
**Space-group type**: No. 69

Geometry as extended XYZ:
```
10
Lattice="0.000 4.977 8.198 3.308 0.000 8.198 3.308 4.977 0.000" Properties=species:S:1:pos:R:3 pbc="T T T"
Ca 3.308 4.977 3.249
Ca 3.308 3.115 6.385
Ca 3.308 3.115 10.010
Ca 3.308 6.839 6.385
Ca 3.308 6.839 10.010
Ca 3.308 4.977 13.146
Hg 5.205 4.977 8.198
Hg 1.411 4.977 8.198
Rh 1.654 2.489 4.099
Rh 4.962 7.466 12.297
```

=====

(8)
# K3UPt2Se6

A relaxed structure of K3UPt2Se6 (PBE, Alexandria).

Output
**Raw formation energy**: -823 meV per atom
**Total moment**: 1.0 μB per formula unit
**Space-group type**: No. 12

Geometry as extended XYZ:
```
12
Lattice="4.016 -5.493 0.000 4.016 5.493 0.000 -3.260 0.000 7.618" Properties=species:S:1:pos:R:3 pbc="T T T"
K 0.000 0.000 0.000
K 4.016 1.743 0.000
K 4.016 -1.743 0.000
U 2.386 0.000 3.809
Pt 2.386 3.601 3.809
Pt 2.386 -3.601 3.809
Se 1.607 1.938 2.110
Se -0.510 0.000 4.991
Se 1.607 -1.938 2.110
Se 3.165 1.938 5.509
Se 5.282 0.000 2.627
Se 3.165 -1.938 5.509
```